Record 1
This record from Alexandria via LeMat-Bulk describes a geometry-optimized MoOsSe3 structure. The functional is PBE.

extended XYZ file:
```
5
Lattice="4.8723 0.0000 0.0000 0.0000 4.8723 0.0000 0.0000 0.0000 4.8723" Properties=species:S:1:pos:R:3 pbc="T T T"
Mo 0.0000 0.0000 0.0000
Os 2.4362 2.4362 2.4362
Se 0.0000 2.4362 2.4362
Se 2.4362 0.0000 2.4362
Se 2.4362 2.4362 0.0000
```

Calculated values
Symmetry: No. 221
Offset from the most stable computed form: 0 meV/atom
DFT total energy: -5.365 eV per atom
Calculated density: 7.5 Mg/m³
ΔE_f (raw): 1.14 eV per atom
Volume: 23.1 Å³ per atom

---

Record 2
This record from Alexandria via LeMat-Bulk describes a geometry-optimized Mo2OsSe structure. The functional is PBE.

extended XYZ file:
```
4
Lattice="3.7166 0.0000 0.0000 0.0000 3.7166 0.0000 0.0000 0.0000 4.5622" Properties=species:S:1:pos:R:3 pbc="T T T"
Mo 0.0000 1.8583 0.0000
Mo 1.8583 0.0000 0.0000
Os 0.0000 0.0000 2.2811
Se 1.8583 1.8583 2.2811
```

Calculated values
Symmetry: No. 123
DFT total energy: -8.463 eV per atom
Calculated density: 12.1 Mg/m³
ΔE_f (raw): 0.63 eV per atom
Volume: 15.8 Å³ per atom

---

Record 3
This record from Alexandria via LeMat-Bulk describes a geometry-optimized Mo2OsSe structure. The functional is PBE.

extended XYZ file:
```
4
Lattice="-1.8911 1.8911 4.3671 1.8911 -1.8911 4.3671 1.8911 1.8911 -4.3671" Properties=species:S:1:pos:R:3 pbc="T T T"
Mo 0.0000 0.0000 0.0000
Mo 0.0000 1.8911 2.1835
Os 1.8911 0.0000 2.1835
Se 0.0000 0.0000 4.3671
```

Calculated values
Symmetry: No. 119
DFT total energy: -8.539 eV per atom
Calculated density: 12.3 Mg/m³
ΔE_f (raw): 0.55 eV per atom
Volume: 15.6 Å³ per atom

---

Record 4
This record from Alexandria via LeMat-Bulk describes a geometry-optimized MoOs2Se structure. The functional is PBE.

extended XYZ file:
```
4
Lattice="1.4362 0.8292 8.5267 -1.4362 0.8292 8.5267 0.0000 -1.6584 8.5267" Properties=species:S:1:pos:R:3 pbc="T T T"
Mo 0.0000 0.0000 0.0000
Os 0.0000 0.0000 6.2796
Os 0.0000 0.0000 12.7383
Se 0.0000 0.0000 19.0447
```

Calculated values
Symmetry: No. 160
DFT total energy: -8.835 eV per atom
Calculated density: 15.1 Mg/m³
ΔE_f (raw): 0.36 eV per atom
Volume: 15.2 Å³ per atom

---

Record 5
This record from Alexandria via LeMat-Bulk describes a geometry-optimized MoOs2Se structure. The functional is PBE.

extended XYZ file:
```
4
Lattice="2.9022 0.0000 0.0000 0.0000 4.1341 0.0000 -1.3445 0.0000 5.0683" Properties=species:S:1:pos:R:3 pbc="T T T"
Mo 0.0000 0.0000 0.0000
Os 0.0740 2.0670 3.7571
Os 1.4837 2.0670 1.3112
Se -0.6723 0.0000 2.5341
```

Calculated values
Symmetry: No. 10
DFT total energy: -8.760 eV per atom
Calculated density: 15.2 Mg/m³
ΔE_f (raw): 0.43 eV per atom
Volume: 15.2 Å³ per atom

---

Record 6
This record from Alexandria via LeMat-Bulk describes a geometry-optimized Sn2MoOsSe structure. The functional is PBE.

extended XYZ file:
```
5
Lattice="5.3023 0.0000 0.0000 0.0000 5.3023 0.0000 0.0000 0.0000 4.6268" Properties=species:S:1:pos:R:3 pbc="T T T"
Sn 0.0000 2.6511 0.0000
Sn 2.6511 0.0000 0.0000
Mo 0.0000 0.0000 2.3134
Os 2.6511 2.6511 0.0000
Se 2.6511 2.6511 2.3134
```

Calculated values
Symmetry: No. 123
DFT total energy: -5.536 eV per atom
Calculated density: 7.7 Mg/m³
ΔE_f (raw): 1.17 eV per atom
Volume: 26.0 Å³ per atom

---

Record 7
This record from Alexandria via LeMat-Bulk describes a geometry-optimized Si2MoOs structure. The functional is PBE.

extended XYZ file:
```
4
Lattice="3.1164 0.0000 0.0000 0.0000 3.1164 0.0000 0.0000 0.0000 5.6811" Properties=species:S:1:pos:R:3 pbc="T T T"
Si 0.0000 0.0000 0.0000
Si 1.5582 1.5582 1.4202
Mo 0.0000 0.0000 2.5884
Os 1.5582 1.5582 4.5168
```

Calculated values
Symmetry: No. 99
DFT total energy: -8.521 eV per atom
Calculated density: 10.3 Mg/m³
ΔE_f (raw): -0.29 eV per atom
Volume: 13.8 Å³ per atom

---

Record 8
This record from Alexandria via LeMat-Bulk describes a geometry-optimized SiMoOs2 structure. The functional is PBE.

extended XYZ file:
```
4
Lattice="1.4672 -2.3497 0.0000 1.4672 2.3497 0.0000 0.0000 0.0000 8.4234" Properties=species:S:1:pos:R:3 pbc="T T T"
Si 0.0000 0.0000 0.0000
Mo 0.0000 0.0000 4.2117
Os 1.4672 0.0000 1.9203
Os 1.4672 0.0000 6.5031
```

Calculated values
Symmetry: No. 65
DFT total energy: -9.421 eV per atom
Calculated density: 14.4 Mg/m³
ΔE_f (raw): 0.26 eV per atom
Volume: 14.5 Å³ per atom

---

Record 9
This record from Alexandria via LeMat-Bulk describes a geometry-optimized Si2MoOs structure. The functional is PBE.

extended XYZ file:
```
4
Lattice="2.8677 0.0000 0.0000 0.0000 3.8657 0.0000 -0.0059 0.0000 5.1886" Properties=species:S:1:pos:R:3 pbc="T T T"
Si 0.0058 0.0000 1.2313
Si 2.8560 0.0000 3.9573
Mo 1.4338 1.9329 0.0000
Os -0.0030 1.9329 2.5943
```

Calculated values
Symmetry: No. 10
DFT total energy: -8.342 eV per atom
Calculated density: 9.9 Mg/m³
ΔE_f (raw): -0.11 eV per atom
Volume: 14.4 Å³ per atom

---

Record 10
This record from Alexandria via LeMat-Bulk describes a geometry-optimized Si2MoOs2 structure. The functional is PBE.

extended XYZ file:
```
10
Lattice="7.0312 0.0000 0.0000 0.0000 7.0312 0.0000 0.0000 0.0000 2.8016" Properties=species:S:1:pos:R:3 pbc="T T T"
Si 1.0103 2.5053 0.0000
Si 2.5053 6.0209 0.0000
Si 4.5259 1.0103 0.0000
Si 6.0209 4.5259 0.0000
Mo 0.0000 0.0000 0.0000
Mo 3.5156 3.5156 0.0000
Os 1.0876 4.6032 1.4008
Os 2.4280 1.0876 1.4008
Os 4.6032 5.9436 1.4008
Os 5.9436 2.4280 1.4008
```

Calculated values
Symmetry: No. 127
DFT total energy: -8.980 eV per atom
Calculated density: 12.8 Mg/m³
ΔE_f (raw): -0.15 eV per atom
Volume: 13.9 Å³ per atom

---

Record 11
This record from Alexandria via LeMat-Bulk describes a geometry-optimized SiMo2Os structure. The functional is PBE.

extended XYZ file:
```
4
Lattice="2.5326 -4.0993 0.0000 2.5326 4.0993 0.0000 0.0000 0.0000 2.8397" Properties=species:S:1:pos:R:3 pbc="T T T"
Si 0.0000 0.0000 0.0000
Mo 1.2663 2.0497 1.4198
Mo 1.2663 -2.0497 1.4198
Os 2.5326 0.0000 0.0000
```

Calculated values
Symmetry: No. 65
DFT total energy: -9.597 eV per atom
Calculated density: 11.6 Mg/m³
ΔE_f (raw): -0.02 eV per atom
Volume: 14.7 Å³ per atom

---

Record 12
This record from Alexandria via LeMat-Bulk describes a geometry-optimized SiMoOs2 structure. The functional is PBE.

extended XYZ file:
```
4
Lattice="2.8777 0.0000 0.0000 0.0000 2.8777 0.0000 0.0000 0.0000 6.7949" Properties=species:S:1:pos:R:3 pbc="T T T"
Si 0.0000 0.0000 0.0000
Mo 1.4389 1.4389 1.6605
Os 0.0000 0.0000 3.4887
Os 1.4389 1.4389 5.3658
```

Calculated values
Symmetry: No. 99
DFT total energy: -9.754 eV per atom
Calculated density: 14.9 Mg/m³
ΔE_f (raw): -0.08 eV per atom
Volume: 14.1 Å³ per atom

---

Record 13
This record from Alexandria via LeMat-Bulk describes a geometry-optimized SiMo2Os structure. The functional is PBE.

extended XYZ file:
```
4
Lattice="1.3979 0.8071 8.7765 -1.3979 0.8071 8.7765 0.0000 -1.6142 8.7765" Properties=species:S:1:pos:R:3 pbc="T T T"
Si 0.0000 0.0000 0.0000
Mo 0.0000 0.0000 6.6196
Mo 0.0000 0.0000 19.7098
Os 0.0000 0.0000 13.1647
```

Calculated values
Symmetry: No. 166
DFT total energy: -9.509 eV per atom
Calculated density: 11.5 Mg/m³
ΔE_f (raw): 0.07 eV per atom
Volume: 14.9 Å³ per atom

---

Record 14
This record from Alexandria via LeMat-Bulk describes a geometry-optimized SiMoOs4 structure. The functional is PBE.

extended XYZ file:
```
6
Lattice="0.0000 3.6144 3.6144 3.6144 0.0000 3.6144 3.6144 3.6144 0.0000" Properties=species:S:1:pos:R:3 pbc="T T T"
Si 0.0000 0.0000 0.0000
Mo 1.8072 1.8072 1.8072
Os 4.5182 2.7106 2.7106
Os 2.7106 4.5182 2.7106
Os 2.7106 2.7106 4.5182
Os 4.5182 4.5182 4.5182
```

Calculated values
Symmetry: No. 216
DFT total energy: -9.424 eV per atom
Calculated density: 15.6 Mg/m³
ΔE_f (raw): 0.77 eV per atom
Volume: 15.7 Å³ per atom

---

Record 15
This record from Alexandria via LeMat-Bulk describes a geometry-optimized SiMo2Os structure. The functional is PBE.

extended XYZ file:
```
4
Lattice="-1.4866 2.2028 4.4362 1.4866 -2.2028 4.4362 1.4866 2.2028 -4.4362" Properties=species:S:1:pos:R:3 pbc="T T T"
Si 0.0000 0.0000 0.0000
Mo 0.0000 0.0000 4.3282
Mo 0.0000 2.2028 2.3104
Os 1.4866 0.0000 1.9813
```

Calculated values
Symmetry: No. 44
DFT total energy: -9.697 eV per atom
Calculated density: 11.7 Mg/m³
ΔE_f (raw): -0.12 eV per atom
Volume: 14.5 Å³ per atom